*P*
EuBiH | PBE | optimized geometry

Crystal system = tetragonal

Cell: 3.367 3.367 6.557 Å, 104.88 104.88 90.00°
Each line ends with the local moment (μB).
Sites, in units of the cell vectors:
Bi  0.006  0.006  0.012  -0.07
Eu  0.724  0.724  0.448  6.84
H  0.270  0.270  0.540  -0.02

*Q*
EuBiH | PBE | optimized geometry

Crystal system = hexagonal

Cell: 5.505 3.802 3.802 Å, 120.00 90.00 90.00°
Each line ends with the local moment (μB).
Sites, in units of the cell vectors:
Eu  0.167  0.667  0.333  6.69
H  0.167  0.000  0.000  -0.02
Bi  0.667  0.333  0.667  -0.04

Relative energies in meV per atom: *P* 80; *Q* 0

*P*
EuHoBi2 | PBE | optimized geometry

Crystal system = tetragonal

Cell: 3.824 3.824 8.492 Å, 90.00 90.00 90.00°
Each line ends with the local moment (μB).
Sites, in units of the cell vectors:
Eu  0.500  0.500  0.500  6.90
Bi  0.000  0.000  0.234  -0.03
Ho  0.500  0.500  0.000  0.01
Bi  0.000  0.000  0.766  -0.03

*Q*
EuHoBi2 | PBE | optimized geometry

Crystal system = trigonal

Cell: 4.524 4.524 8.072 Å, 73.73 73.73 60.00°
Each line ends with the local moment (μB).
Sites, in units of the cell vectors:
Bi  0.255  0.255  0.235  0.06
Eu  0.500  0.500  0.500  -6.75
Ho  0.000  0.000  0.000  0.07
Bi  0.745  0.745  0.765  0.06

Relative energies in meV per atom: *P* 112; *Q* 0

*P*
EuHoBi2 | PBE | optimized geometry

Crystal system = tetragonal

Cell: 3.486 5.927 5.927 Å, 90.00 90.00 90.00°
Each line ends with the local moment (μB).
Sites, in units of the cell vectors:
Eu  0.500  0.500  0.500  6.86
Bi  0.000  0.500  0.000  -0.05
Ho  0.500  0.000  0.000  0.17
Bi  0.000  0.000  0.500  -0.05

*Q*
EuHoBi2 | PBE | optimized geometry

Crystal system = cubic

Cell: 5.600 5.600 5.600 Å, 60.00 60.00 60.00°
Each line ends with the local moment (μB).
Sites, in units of the cell vectors:
Bi  0.750  0.750  0.750  -0.03
Eu  0.000  0.000  0.000  6.85
Bi  0.250  0.250  0.250  -0.03
Ho  0.500  0.500  0.500  0.01

Relative energies in meV per atom: *P* 0; *Q* 26

*P*
EuInBi2 | PBE | optimized geometry

Crystal system = trigonal

Cell: 3.526 3.526 12.770 Å, 82.07 82.07 60.00°
Each line ends with the local moment (μB).
Sites, in units of the cell vectors:
Bi  0.088  0.088  0.737  0.01
In  0.500  0.500  0.500  0.00
Eu  0.000  0.000  0.000  -7.13
Bi  0.912  0.912  0.263  0.01

*Q*
EuInBi2 | PBE | optimized geometry

Crystal system = tetragonal

Cell: 4.351 4.351 6.659 Å, 90.00 90.00 90.00°
Each line ends with the local moment (μB).
Sites, in units of the cell vectors:
Bi  0.000  0.000  0.743  -0.01
Eu  0.500  0.500  0.500  6.83
In  0.500  0.500  0.000  0.00
Bi  0.000  0.000  0.257  -0.01

*R*
EuInBi2 | PBE | optimized geometry

Crystal system = cubic

Cell: 5.640 5.640 5.640 Å, 60.00 60.00 60.00°
Each line ends with the local moment (μB).
Sites, in units of the cell vectors:
Bi  0.250  0.250  0.250  0.06
Eu  0.000  0.000  0.000  6.86
Bi  0.750  0.750  0.750  0.06
In  0.500  0.500  0.500  0.02

*S*
EuInBi2 | PBE | optimized geometry

Crystal system = tetragonal

Cell: 4.903 4.972 4.972 Å, 90.00 90.00 90.00°
Each line ends with the local moment (μB).
Sites, in units of the cell vectors:
Eu  0.500  0.500  0.500  6.83
In  0.500  0.000  0.000  0.01
Bi  0.000  0.500  0.000  -0.03
Bi  0.000  0.000  0.500  -0.03

Relative energies in meV per atom: *P* 537; *Q* 78; *R* 207; *S* 0

*P*
EuInBi | PBE | optimized geometry

Crystal system = cubic

Cell: 5.479 5.479 5.479 Å, 60.00 60.00 60.00°
Each line ends with the local moment (μB).
Sites, in units of the cell vectors:
Eu  0.500  0.500  0.500  6.93
In  0.000  0.000  0.000  0.02
Bi  0.250  0.250  0.250  -0.02

*Q*
EuInBi | PBE | optimized geometry

Crystal system = tetragonal

Cell: 4.509 4.509 5.780 Å, 112.96 112.96 90.00°
Each line ends with the local moment (μB).
Sites, in units of the cell vectors:
In  0.614  0.614  0.228  0.03
Eu  0.945  0.945  0.891  6.89
Bi  0.291  0.291  0.581  -0.04

*R*
EuInBi | PBE | optimized geometry

Crystal system = trigonal

Cell: 3.534 5.539 5.539 Å, 120.00 90.00 90.00°
Each line ends with the local moment (μB).
Sites, in units of the cell vectors:
Bi  0.170  0.333  0.667  0.04
Eu  0.667  0.667  0.333  -6.91
In  0.163  0.000  0.000  -0.01

Relative energies in meV per atom: *P* 128; *Q* 48; *R* 0

*P*
SrEuInBiO6 | PBE | optimized geometry

Crystal system = triclinic

Cell: 5.853 6.059 8.379 Å, 90.21 90.24 89.94°
Each line ends with the local moment (μB).
Sites, in units of the cell vectors:
O  0.296  0.714  0.561  0.00
Sr  0.488  0.449  0.752  0.00
Eu  0.020  0.944  0.751  6.50
In  0.500  0.000  0.000  0.00
O  0.194  0.194  0.943  -0.02
O  0.100  0.447  0.254  -0.01
Bi  0.000  0.500  0.000  0.01
O  0.382  0.963  0.254  -0.01
In  0.000  0.500  0.500  0.00
O  0.701  0.292  0.054  -0.01
O  0.806  0.806  0.057  -0.02
Sr  0.512  0.551  0.248  0.00
O  0.200  0.197  0.560  -0.01
Bi  0.500  0.000  0.500  0.01
Eu  0.980  0.056  0.249  6.50
O  0.299  0.708  0.946  -0.01
O  0.618  0.037  0.746  -0.01
O  0.704  0.286  0.439  0.00
O  0.900  0.553  0.746  -0.01
O  0.800  0.803  0.440  -0.01

*Q*
SrEuInBiO6 | PBE | optimized geometry

Crystal system = cubic

Cell: 5.990 5.990 5.990 Å, 60.00 60.00 60.00°
Each line ends with the local moment (μB).
Sites, in units of the cell vectors:
Sr  0.750  0.750  0.750  0.00
Eu  0.250  0.250  0.250  6.71
O  0.249  0.249  0.751  -0.01
O  0.249  0.751  0.751  -0.01
O  0.751  0.249  0.751  -0.01
Bi  0.000  0.000  0.000  0.00
O  0.249  0.751  0.249  -0.01
O  0.751  0.249  0.249  -0.01
O  0.751  0.751  0.249  -0.01
In  0.500  0.500  0.500  0.00

Relative energies in meV per atom: *P* 0; *Q* 152

*P*
La2EuBi | PBE | optimized geometry

Crystal system = tetragonal

Cell: 4.367 4.367 7.371 Å, 90.00 90.00 90.00°
Each line ends with the local moment (μB).
Sites, in units of the cell vectors:
La  0.000  0.000  0.778  0.14
Bi  0.500  0.500  0.000  -0.02
La  0.000  0.000  0.222  0.14
Eu  0.500  0.500  0.500  6.93

*Q*
La2EuBi | PBE | optimized geometry

Crystal system = trigonal

Cell: 3.680 3.680 13.017 Å, 81.87 81.87 60.00°
Each line ends with the local moment (μB).
Sites, in units of the cell vectors:
La  0.085  0.085  0.745  0.02
La  0.915  0.915  0.255  0.02
Bi  0.000  0.000  0.000  -0.01
Eu  0.500  0.500  0.500  7.03

*R*
La2EuBi | PBE | optimized geometry

Crystal system = tetragonal

Cell: 5.040 5.116 5.116 Å, 90.00 90.00 90.00°
Each line ends with the local moment (μB).
Sites, in units of the cell vectors:
Bi  0.500  0.000  0.000  0.04
Eu  0.500  0.500  0.500  -6.99
La  0.000  0.500  0.000  -0.15
La  0.000  0.000  0.500  -0.15

Relative energies in meV per atom: *P* 36; *Q* 496; *R* 0

*P*
LaEuBi | PBE | optimized geometry

Crystal system = tetragonal

Cell: 4.326 4.326 6.251 Å, 110.24 110.24 90.00°
Each line ends with the local moment (μB).
Sites, in units of the cell vectors:
Bi  0.281  0.281  0.562  -0.07
Eu  0.936  0.936  0.872  7.10
La  0.633  0.633  0.267  0.48

*Q*
LaEuBi | PBE | optimized geometry

Crystal system = trigonal

Cell: 4.333 5.311 5.311 Å, 120.00 90.00 90.00°
Each line ends with the local moment (μB).
Sites, in units of the cell vectors:
Eu  0.400  0.333  0.667  6.90
Bi  0.632  0.667  0.333  -0.05
La  0.967  0.000  0.000  0.11

Relative energies in meV per atom: *P* 0; *Q* 161

*P*
Eu2MgBi | PBE | optimized geometry

Crystal system = tetragonal

Cell: 4.516 5.315 5.315 Å, 90.00 90.00 90.00°
Each line ends with the local moment (μB).
Sites, in units of the cell vectors:
Bi  0.500  0.500  0.500  -0.11
Mg  0.500  0.000  0.000  0.00
Eu  0.000  0.000  0.500  6.91
Eu  0.000  0.500  0.000  6.91

*Q*
Eu2MgBi | PBE | optimized geometry

Crystal system = cubic

Cell: 5.667 5.667 5.667 Å, 60.00 60.00 60.00°
Each line ends with the local moment (μB).
Sites, in units of the cell vectors:
Bi  0.000  0.000  0.000  -0.11
Mg  0.500  0.500  0.500  0.02
Eu  0.750  0.750  0.750  6.97
Eu  0.250  0.250  0.250  6.97

Relative energies in meV per atom: *P* 0; *Q* 47

*P*
NaEuBi2 | PBE | optimized geometry

Crystal system = tetragonal

Cell: 4.219 4.219 7.129 Å, 90.00 90.00 90.00°
Each line ends with the local moment (μB).
Sites, in units of the cell vectors:
Na  0.500  0.500  0.500  0.00
Bi  0.000  0.000  0.757  -0.01
Eu  0.500  0.500  0.000  6.82
Bi  0.000  0.000  0.243  -0.01

*Q*
NaEuBi2 | PBE | optimized geometry

Crystal system = tetragonal

Cell: 4.658 5.132 5.132 Å, 90.00 90.00 90.00°
Each line ends with the local moment (μB).
Sites, in units of the cell vectors:
Eu  0.500  0.000  0.000  6.83
Na  0.500  0.500  0.500  0.00
Bi  0.000  0.500  0.000  -0.05
Bi  0.000  0.000  0.500  -0.05

*R*
NaEuBi2 | PBE | optimized geometry

Crystal system = cubic

Cell: 5.630 5.630 5.630 Å, 60.00 60.00 60.00°
Each line ends with the local moment (μB).
Sites, in units of the cell vectors:
Na  0.000  0.000  0.000  0.00
Bi  0.250  0.250  0.250  0.01
Eu  0.500  0.500  0.500  6.82
Bi  0.750  0.750  0.750  0.01

Relative energies in meV per atom: *P* 64; *Q* 0; *R* 93

*P*
NaEu2Bi | PBE | optimized geometry

Crystal system = tetragonal

Cell: 4.261 4.261 8.047 Å, 90.00 90.00 90.00°
Each line ends with the local moment (μB).
Sites, in units of the cell vectors:
Bi  0.500  0.500  0.000  -0.17
Eu  0.000  0.000  0.210  6.91
Na  0.500  0.500  0.500  0.00
Eu  0.000  0.000  0.790  6.91

*Q*
NaEu2Bi | PBE | optimized geometry

Crystal system = tetragonal

Cell: 4.653 5.374 5.374 Å, 90.00 90.00 90.00°
Each line ends with the local moment (μB).
Sites, in units of the cell vectors:
Bi  0.500  0.500  0.500  -0.10
Na  0.500  0.000  0.000  0.01
Eu  0.000  0.000  0.500  6.94
Eu  0.000  0.500  0.000  6.94

*R*
NaEu2Bi | PBE | optimized geometry

Crystal system = cubic

Cell: 5.730 5.730 5.730 Å, 60.00 60.00 60.00°
Each line ends with the local moment (μB).
Sites, in units of the cell vectors:
Bi  0.000  0.000  0.000  -0.09
Na  0.500  0.500  0.500  0.02
Eu  0.250  0.250  0.250  6.97
Eu  0.750  0.750  0.750  6.97

Relative energies in meV per atom: *P* 38; *Q* 0; *R* 27

*P*
Na2EuBi | PBE | optimized geometry

Crystal system = tetragonal

Cell: 5.566 4.822 4.822 Å, 90.00 90.00 90.00°
Each line ends with the local moment (μB).
Sites, in units of the cell vectors:
Eu  0.500  0.000  0.000  6.96
Na  0.000  0.500  0.000  0.03
Na  0.000  0.000  0.500  0.03
Bi  0.500  0.500  0.500  -0.04

*Q*
Na2EuBi | PBE | optimized geometry

Crystal system = trigonal

Cell: 3.611 3.611 13.105 Å, 82.08 82.08 60.00°
Each line ends with the local moment (μB).
Sites, in units of the cell vectors:
Na  0.919  0.919  0.242  0.00
Eu  0.500  0.500  0.500  -7.12
Na  0.081  0.081  0.758  0.00
Bi  0.000  0.000  0.000  -0.04

Relative energies in meV per atom: *P* 0; *Q* 468